(1)
Compound: ThNF
Source: the Alexandria database
Functional: PBE-GGA
Structure: optimized geometry

Values from the calculation:
* raw formation energy: -2.738 eV/atom
* relative energy among the computed polymorphs: 0.36 eV/f.u.

abc: 5.7040 5.7040 5.7040
angles: 90.00 90.00 90.00
Positions (direct):
Th 0.0000 0.0000 0.0000
Th 0.0000 0.5000 0.5000
Th 0.5000 0.0000 0.5000
Th 0.5000 0.5000 0.0000
N 0.2500 0.2500 0.2500
N 0.2500 0.7500 0.7500
N 0.7500 0.2500 0.7500
N 0.7500 0.7500 0.2500
F 0.2500 0.2500 0.7500
F 0.2500 0.7500 0.2500
F 0.7500 0.2500 0.2500
F 0.7500 0.7500 0.7500

(2)
Compound: TbThCu2
Source: the Alexandria database
Functional: PBE-GGA
Structure: optimized geometry

Values from the calculation:
* E_form: 63 meV per atom
* relative energy among the computed polymorphs: 0.92 eV/f.u.

abc: 3.7945 3.7945 23.2936
angles: 90.00 90.00 120.00
Positions (direct):
Tb 0.0000 0.0000 0.0000
Tb 0.3333 0.6667 0.6667
Tb 0.6667 0.3333 0.3333
Th 0.0000 0.0000 0.5000
Th 0.3333 0.6667 0.1667
Th 0.6667 0.3333 0.8333
Cu 0.0000 0.0000 0.2505
Cu 0.0000 0.0000 0.7495
Cu 0.3333 0.6667 0.4161
Cu 0.3333 0.6667 0.9172
Cu 0.6667 0.3333 0.0828
Cu 0.6667 0.3333 0.5839

(3)
Compound: CaOs2Rh
Source: the Alexandria database
Functional: PBE-GGA
Structure: optimized geometry

Values from the calculation:
* E_form: 263 meV per atom
* relative energy among the computed polymorphs: 0.18 eV/f.u.

abc: 2.7799 4.3691 5.6713
angles: 90.00 104.05 90.00
Positions (direct):
Ca 0.0000 0.0000 0.0000
Os 0.2556 0.0000 0.5024
Os 0.6828 0.5000 0.3587
Rh 0.3909 0.5000 0.7788

(4)
Compound: Li4Zn5Ag
Source: the Alexandria database
Functional: PBE-GGA
Structure: optimized geometry

Values from the calculation:
* E_form: -140 meV per atom
* relative energy among the computed polymorphs: 0.00 eV/f.u.

abc: 3.1914 3.1914 14.7129
angles: 90.00 90.00 90.00
Positions (direct):
Li 0.0000 0.0000 0.0990
Li 0.0000 0.0000 0.2972
Li 0.0000 0.0000 0.7028
Li 0.0000 0.0000 0.9010
Zn 0.5000 0.5000 0.0000
Zn 0.5000 0.5000 0.1983
Zn 0.5000 0.5000 0.3912
Zn 0.5000 0.5000 0.6088
Zn 0.5000 0.5000 0.8017
Ag 0.0000 0.0000 0.5000

(5)
Compound: CdCCl3
Source: the Alexandria database
Functional: PBE-GGA
Structure: optimized geometry

Values from the calculation:
* raw formation energy: 0.683 eV/atom
* relative energy among the computed polymorphs: 0.00 eV/f.u.

abc: 4.5360 4.5360 4.5360
angles: 90.00 90.00 90.00
Positions (direct):
Cd 0.0000 0.0000 0.0000
C 0.5000 0.5000 0.5000
Cl 0.0000 0.5000 0.5000
Cl 0.5000 0.0000 0.5000
Cl 0.5000 0.5000 0.0000

(6)
Compound: Sm5In2Si2
Source: the Alexandria database
Functional: PBE-GGA
Structure: optimized geometry

Values from the calculation:
* raw formation energy: -0.554 eV/atom

abc: 8.9621 8.9621 7.8369
angles: 90.00 90.00 51.44
Positions (direct):
Sm 0.0000 0.0000 0.0000
Sm 0.0634 0.6865 0.6829
Sm 0.1865 0.5634 0.1829
Sm 0.3135 0.9366 0.6829
Sm 0.4366 0.8135 0.1829
Sm 0.5000 0.5000 0.5000
Sm 0.5634 0.1865 0.8171
Sm 0.6865 0.0634 0.3171
Sm 0.8135 0.4366 0.8171
Sm 0.9366 0.3135 0.3171
In 0.2227 0.2227 0.0000
In 0.2773 0.2773 0.5000
In 0.7227 0.7227 0.5000
In 0.7773 0.7773 0.0000
Si 0.1119 0.8881 0.3849
Si 0.3881 0.6119 0.8849
Si 0.6119 0.3881 0.1151
Si 0.8881 0.1119 0.6151

(7)
Compound: Pm3Ho12In
Source: the Alexandria database
Functional: PBE-GGA
Structure: optimized geometry

Values from the calculation:
* E_form: -41 meV per atom

abc: 4.9599 4.9599 20.1051
angles: 90.00 90.00 90.00
Positions (direct):
Pm 0.0000 0.0000 0.0000
Pm 0.0000 0.0000 0.2519
Pm 0.0000 0.0000 0.7481
Ho 0.0000 0.5000 0.1269
Ho 0.0000 0.5000 0.3803
Ho 0.0000 0.5000 0.6197
Ho 0.0000 0.5000 0.8731
Ho 0.5000 0.0000 0.1269
Ho 0.5000 0.0000 0.3803
Ho 0.5000 0.0000 0.6197
Ho 0.5000 0.0000 0.8731
Ho 0.5000 0.5000 0.0000
Ho 0.5000 0.5000 0.2567
Ho 0.5000 0.5000 0.5000
Ho 0.5000 0.5000 0.7433
In 0.0000 0.0000 0.5000

(8)
Compound: PmNpAu4
Source: the Alexandria database
Functional: PBE-GGA
Structure: optimized geometry

Values from the calculation:
* E_form: -236 meV per atom

abc: 5.7041 5.7041 5.7041
angles: 60.00 60.00 60.00
Positions (direct):
Pm 0.0000 0.0000 0.0000
Np 0.2500 0.2500 0.2500
Au 0.1254 0.6249 0.6249
Au 0.6249 0.1254 0.6249
Au 0.6249 0.6249 0.1254
Au 0.6249 0.6249 0.6249

- What is the formula in the first record?
  ThNF